# Pr2Sm2YTm2, optimized geometry, DFT PBE-GGA
# total energy = -68.5 eV/cell
# total magnetic moment = 0.00 μB/cell
# energy of formation from the pure elements = 0.02 eV/atom
data_Pr2Sm2YTm2
_cell_length_a 11.3893
_cell_length_b 5.1005
_cell_length_c 8.0733
_cell_angle_alpha 90.00
_cell_angle_beta 98.30
_cell_angle_gamma 90.00
_symmetry_space_group_name_H-M 'C 1 2/m 1'
_symmetry_Int_Tables_number 12
loop_
_symmetry_equiv_pos_as_xyz
'x,y,z'
'-x,-y,-z'
'-x,y,-z'
'x,-y,z'
'x+1/2,y+1/2,z'
'-x+1/2,-y+1/2,-z'
'-x+1/2,y+1/2,-z'
'x+1/2,-y+1/2,z'
loop_
_atom_site_label
_atom_site_type_symbol
_atom_site_fract_x
_atom_site_fract_y
_atom_site_fract_z
Pr1 Pr 0.0723 0.0000 0.2183
Sm1 Sm 0.1437 0.5000 0.9290
Y1 Y 0.0000 0.5000 0.5000
Tm1 Tm 0.2145 0.0000 0.6410